Material: Rb2Ce2InS6
Method: DFT, PBE
State: optimized geometry

Computed properties:
formation energy without anion corrections = -1.45 eV/atom
size of the total moment = 1.03 μB per formula unit
crystal system = monoclinic
DOS(E_F) = 6.03 states/eV per cell

Cell: 7.041 7.041 8.216 Å, 98.05 98.05 120.08°
Site moments in Bohr magnetons follow the coordinates.
Element x y z (fractional)
In1 0.000 0.000 0.500  0.00
S1 0.940 0.610 0.312  -0.01
Rb1 0.834 0.166 0.000  0.00
Ce1 0.667 0.333 0.500  0.55
S2 0.060 0.390 0.688  -0.01
S3 0.610 0.940 0.312  -0.01
S4 0.254 0.254 0.315  -0.01
S5 0.390 0.060 0.688  -0.01
Ce2 0.333 0.667 0.500  0.55
S6 0.746 0.746 0.685  -0.01
Rb2 0.166 0.834 0.000  0.00



Material: Rb3Ce2InSe6
Method: DFT, PBE
State: optimized geometry

Computed properties:
formation energy without anion corrections = -1.37 eV/atom
size of the total moment = 1.43 μB per formula unit
crystal system = monoclinic
DOS(E_F) = 12.77 states/eV per cell

Cell: 7.591 7.591 8.298 Å, 98.74 98.74 119.97°
Site moments in Bohr magnetons follow the coordinates.
Element x y z (fractional)
Rb1 0.837 0.163 0.500  0.00
Rb2 0.163 0.837 0.500  0.00
Se1 0.404 0.065 0.196  0.00
Ce1 0.667 0.333 0.000  0.60
In1 0.000 0.000 0.000  0.10
Se2 0.274 0.274 0.805  0.00
Se3 0.065 0.404 0.196  0.00
Rb3 0.500 0.500 0.500  0.00
Se4 0.935 0.596 0.804  0.00
Se5 0.726 0.726 0.195  0.00
Ce2 0.333 0.667 0.000  0.60
Se6 0.596 0.935 0.804  0.00